No. 1
Here is ZrTaFe2Se after structural relaxation from Alexandria via LeMat-Bulk. Energies are from GGA-PBEsol.

Calculated values
E = -6.93 eV/atom
Theoretical density = 7.69 Mg/m³
Crystal system = tetragonal
N(E_F) = 5.01 states/eV per cell

Unit cell a=4.448 b=4.448 c=5.050 alpha=90.00 beta=90.00 gamma=90.00
Space group P4/mmm (No. 123)
Asymmetric unit:
Zr 0.000 0.000 0.000 (multiplicity 1)
Ta 0.000 0.000 0.500 (multiplicity 1)
Fe 0.000 0.500 0.000 (multiplicity 2)
Se 0.500 0.500 0.500 (multiplicity 1)

No. 2
Here is FeTc2Se after structural relaxation from Alexandria via LeMat-Bulk. Energies are from GGA-PBEsol.

Calculated values
E = -8.63 eV/atom
Theoretical density = 10.17 Mg/m³
Crystal system = orthorhombic
N(E_F) = 7.68 states/eV per cell

Unit cell a=3.738 b=2.791 c=10.357 alpha=90.00 beta=90.00 gamma=90.00
Space group Amm2 (No. 38)
Asymmetric unit:
Fe 0.000 0.000 0.000 (multiplicity 2)
Tc 0.000 0.000 0.260 (multiplicity 2)
Tc 0.500 0.000 0.644 (multiplicity 2)
Se 0.500 0.000 0.420 (multiplicity 2)

No. 3
Here is Fe2TcSe after structural relaxation from Alexandria via LeMat-Bulk. Energies are from GGA-PBEsol.

Calculated values
E = -7.99 eV/atom
Theoretical density = 9.46 Mg/m³
Crystal system = orthorhombic
N(E_F) = 4.88 states/eV per cell

Unit cell a=2.814 b=3.645 c=4.937 alpha=90.00 beta=90.00 gamma=90.00
Space group Pmmm (No. 47)
Asymmetric unit:
Fe 0.000 0.000 0.240 (multiplicity 2)
Tc 0.500 0.500 0.000 (multiplicity 1)
Se 0.500 0.500 0.500 (multiplicity 1)

No. 4
Here is FeTc2Se after structural relaxation from Alexandria via LeMat-Bulk. Energies are from GGA-PBEsol.

Calculated values
E = -8.54 eV/atom
Theoretical density = 10.07 Mg/m³
Crystal system = trigonal
N(E_F) = 12.79 states/eV per cell

Unit cell a=2.8068 b=2.8068 c=23.9794 alpha=90.00 beta=90.00 gamma=120.00
Space group R-3m (No. 166, hexagonal axes)
Asymmetric unit:
Fe 0.0000 0.0000 0.0000 (multiplicity 3)
Tc 0.0000 0.0000 0.2510 (multiplicity 6)
Se 0.0000 0.0000 0.5000 (multiplicity 3)

No. 5
Here is Fe2TcSe after structural relaxation from Alexandria via LeMat-Bulk. Energies are from GGA-PBEsol.

Calculated values
E = -7.82 eV/atom
Theoretical density = 8.84 Mg/m³
Crystal system = orthorhombic
N(E_F) = 8.30 states/eV per cell

Unit cell a=3.021 b=4.363 c=8.231 alpha=90.00 beta=90.00 gamma=90.00
Space group Cmm2 (No. 35)
Asymmetric unit:
Fe 0.000 0.000 0.000 (multiplicity 2)
Fe 0.000 0.500 0.225 (multiplicity 2)
Tc 0.000 0.500 0.763 (multiplicity 2)
Se 0.000 0.000 0.473 (multiplicity 2)

No. 6
Here is Fe2TeSe after structural relaxation from Alexandria via LeMat-Bulk. Energies are from GGA-PBEsol.

Calculated values
E = -6.16 eV/atom
Theoretical density = 7.93 Mg/m³
Crystal system = orthorhombic
N(E_F) = 10.08 states/eV per cell

Unit cell a=3.222 b=3.543 c=11.675 alpha=90.00 beta=90.00 gamma=90.00
Space group Imm2 (No. 44)
Asymmetric unit:
Fe 0.000 0.000 0.000 (multiplicity 2)
Fe 0.000 0.500 0.310 (multiplicity 2)
Te 0.000 0.000 0.614 (multiplicity 2)
Se 0.000 0.500 0.860 (multiplicity 2)

No. 7
Here is Fe2TeSe after structural relaxation from Alexandria via LeMat-Bulk. Energies are from GGA-PBEsol.

Calculated values
E = -6.16 eV/atom
Theoretical density = 8.28 Mg/m³
Crystal system = trigonal
N(E_F) = 12.61 states/eV per cell

Unit cell a=3.6645 b=3.6645 c=16.4731 alpha=90.00 beta=90.00 gamma=120.00
Space group R-3m (No. 166, hexagonal axes)
Asymmetric unit:
Fe 0.0000 0.0000 0.2224 (multiplicity 6)
Te 0.0000 0.0000 0.0000 (multiplicity 3)
Se 0.0000 0.0000 0.5000 (multiplicity 3)

No. 8
Here is FeTe2Se after structural relaxation from Alexandria via LeMat-Bulk. Energies are from GGA-PBEsol.

Calculated values
E = -4.68 eV/atom
Theoretical density = 6.98 Mg/m³
Crystal system = tetragonal
N(E_F) = 11.02 states/eV per cell

Unit cell a=5.590 b=5.590 c=5.939 alpha=90.00 beta=90.00 gamma=90.00
Space group I4/mmm (No. 139)
Asymmetric unit:
Fe 0.000 0.000 0.000 (multiplicity 2)
Te 0.000 0.500 0.000 (multiplicity 4)
Se 0.000 0.000 0.500 (multiplicity 2)

No. 9
Here is Fe4TeSe after structural relaxation from Alexandria via LeMat-Bulk. Energies are from GGA-PBEsol.

Calculated values
E = -6.79 eV/atom
Theoretical density = 8.25 Mg/m³
Crystal system = cubic
N(E_F) = 17.03 states/eV per cell

Unit cell a=7.022 b=7.022 c=7.022 alpha=90.00 beta=90.00 gamma=90.00
Space group F-43m (No. 216)
Asymmetric unit:
Fe 0.125 0.125 0.125 (multiplicity 16)
Te 0.000 0.000 0.500 (multiplicity 4)
Se 0.250 0.250 0.750 (multiplicity 4)

No. 10
Here is FeTe2Se after structural relaxation from Alexandria via LeMat-Bulk. Energies are from GGA-PBEsol.

Calculated values
E = -4.85 eV/atom
Theoretical density = 7.42 Mg/m³
Crystal system = tetragonal
N(E_F) = 3.12 states/eV per cell

Unit cell a=2.997 b=2.997 c=9.724 alpha=90.00 beta=90.00 gamma=90.00
Space group P4mm (No. 99)
Asymmetric unit:
Fe 0.000 0.000 0.000 (multiplicity 1)
Te 0.000 0.000 0.465 (multiplicity 1)
Te 0.500 0.500 0.808 (multiplicity 1)
Se 0.500 0.500 0.133 (multiplicity 1)

No. 11
Here is FeTe2Se after structural relaxation from Alexandria via LeMat-Bulk. Energies are from GGA-PBEsol.

Calculated values
E = -4.43 eV/atom
Theoretical density = 6.06 Mg/m³
Crystal system = orthorhombic
N(E_F) = 5.66 states/eV per cell

Unit cell a=3.798 b=3.904 c=7.204 alpha=90.00 beta=90.00 gamma=90.00
Space group Pmmm (No. 47)
Asymmetric unit:
Fe 0.000 0.000 0.000 (multiplicity 1)
Te 0.000 0.500 0.500 (multiplicity 1)
Te 0.500 0.500 0.000 (multiplicity 1)
Se 0.500 0.000 0.500 (multiplicity 1)

No. 12
Here is Fe2TeSe after structural relaxation from Alexandria via LeMat-Bulk. Energies are from GGA-PBEsol.

Calculated values
E = -6.47 eV/atom
Theoretical density = 7.07 Mg/m³
Crystal system = tetragonal
N(E_F) = 3.04 states/eV per cell

Unit cell a=3.536 b=3.536 c=5.980 alpha=90.00 beta=90.00 gamma=90.00
Space group P4mm (No. 99)
Asymmetric unit:
Fe 0.000 0.500 0.000 (multiplicity 2)
Te 0.000 0.000 0.699 (multiplicity 1)
Se 0.500 0.500 0.258 (multiplicity 1)

No. 13
Here is Fe3TeSe after structural relaxation from Alexandria via LeMat-Bulk. Energies are from GGA-PBEsol.

Calculated values
E = -6.18 eV/atom
Theoretical density = 7.14 Mg/m³
Crystal system = cubic
N(E_F) = 5.05 states/eV per cell

Unit cell a=4.432 b=4.432 c=4.432 alpha=90.00 beta=90.00 gamma=90.00
Space group Pm-3m (No. 221)
Asymmetric unit:
Fe 0.000 0.000 0.500 (multiplicity 3)
Te 0.500 0.500 0.500 (multiplicity 1)
Se 0.000 0.000 0.000 (multiplicity 1)

No. 14
Here is FeTe2Se after structural relaxation from Alexandria via LeMat-Bulk. Energies are from GGA-PBEsol.

Calculated values
E = -4.40 eV/atom
Theoretical density = 7.71 Mg/m³
Crystal system = cubic
N(E_F) = 13.44 states/eV per cell

Unit cell a=6.953 b=6.953 c=6.953 alpha=90.00 beta=90.00 gamma=90.00
Space group F-43m (No. 216)
Asymmetric unit:
Fe 0.000 0.000 0.000 (multiplicity 4)
Te 0.000 0.000 0.500 (multiplicity 4)
Te 0.250 0.250 0.750 (multiplicity 4)
Se 0.250 0.250 0.250 (multiplicity 4)

No. 15
Here is Ti3FeSe after structural relaxation from Alexandria via LeMat-Bulk. Energies are from GGA-PBEsol.

Calculated values
E = -7.17 eV/atom
Theoretical density = 4.85 Mg/m³
Crystal system = cubic
N(E_F) = 5.47 states/eV per cell

Unit cell a=4.570 b=4.570 c=4.570 alpha=90.00 beta=90.00 gamma=90.00
Space group Pm-3m (No. 221)
Asymmetric unit:
Ti 0.000 0.000 0.500 (multiplicity 3)
Fe 0.500 0.500 0.500 (multiplicity 1)
Se 0.000 0.000 0.000 (multiplicity 1)

No. 16
Here is ZrTiFe2Se after structural relaxation from Alexandria via LeMat-Bulk. Energies are from GGA-PBEsol.

Calculated values
E = -7.36 eV/atom
Theoretical density = 6.45 Mg/m³
Crystal system = tetragonal
N(E_F) = 6.10 states/eV per cell

Unit cell a=4.234 b=4.234 c=4.733 alpha=90.00 beta=90.00 gamma=90.00
Space group P4/mmm (No. 123)
Asymmetric unit:
Zr 0.000 0.000 0.000 (multiplicity 1)
Ti 0.500 0.500 0.500 (multiplicity 1)
Fe 0.000 0.500 0.500 (multiplicity 2)
Se 0.500 0.500 0.000 (multiplicity 1)

No. 17
Here is TlFeSe2 after structural relaxation from Alexandria via LeMat-Bulk. Energies are from GGA-PBEsol.

Calculated values
E = -5.08 eV/atom
Theoretical density = 7.64 Mg/m³
Crystal system = monoclinic
N(E_F) = 8.36 states/eV per cell

Unit cell a=11.611 b=5.191 c=6.834 alpha=90.00 beta=118.04 gamma=90.00
Space group C2/m (No. 12)
Asymmetric unit:
Tl 0.177 0.000 0.121 (multiplicity 4)
Fe 0.000 0.249 0.500 (multiplicity 4)
Se 0.038 0.500 0.790 (multiplicity 4)
Se 0.172 0.000 0.575 (multiplicity 4)

No. 18
Here is TlFe2Se after structural relaxation from Alexandria via LeMat-Bulk. Energies are from GGA-PBEsol.

Calculated values
E = -5.85 eV/atom
Energy above the lowest structure with this stoichiometry = 0.00 eV/f.u.
Theoretical density = 9.00 Mg/m³
Crystal system = monoclinic
N(E_F) = 6.18 states/eV per cell

Unit cell a=7.776 b=3.177 c=6.045 alpha=90.00 beta=102.60 gamma=90.00
Space group Cm (No. 8)
Asymmetric unit:
Tl 0.000 0.000 0.000 (multiplicity 2)
Fe 0.265 0.500 0.274 (multiplicity 2)
Fe 0.489 0.000 0.423 (multiplicity 2)
Se 0.224 0.000 0.563 (multiplicity 2)

No. 19
Here is TlFeSe2 after structural relaxation from Alexandria via LeMat-Bulk. Energies are from GGA-PBEsol.

Calculated values
E = -4.39 eV/atom
Theoretical density = 8.54 Mg/m³
Crystal system = tetragonal
N(E_F) = 5.00 states/eV per cell

Unit cell a=4.968 b=4.968 c=3.296 alpha=90.00 beta=90.00 gamma=90.00
Space group P4/mmm (No. 123)
Asymmetric unit:
Tl 0.000 0.000 0.000 (multiplicity 1)
Fe 0.500 0.500 0.000 (multiplicity 1)
Se 0.000 0.500 0.500 (multiplicity 2)

No. 20
Here is TlFe2Se after structural relaxation from Alexandria via LeMat-Bulk. Energies are from GGA-PBEsol.

Calculated values
E = -5.58 eV/atom
Energy above the lowest structure with this stoichiometry = 1.08 eV/f.u.
Theoretical density = 9.52 Mg/m³
Crystal system = orthorhombic
N(E_F) = 7.30 states/eV per cell

Unit cell a=2.993 b=5.522 c=8.336 alpha=90.00 beta=90.00 gamma=90.00
Space group Immm (No. 71)
Asymmetric unit:
Tl 0.000 0.000 0.000 (multiplicity 2)
Fe 0.000 0.500 0.224 (multiplicity 4)
Se 0.000 0.000 0.500 (multiplicity 2)